Entry 1:
{"formula": "KAgPtO2", "functional": "PBE-GGA", "state": "optimized geometry", "cell": [[-3.735, -2.493, 1.534], [-1.049, -2.097, -5.963], [3.767, -4.976, 1.086]], "species": ["O", "O", "O", "O", "Ag", "Ag", "Pt", "Pt", "K", "K"], "frac_coords": [[0.500, 0.207, 0.000], [0.500, 0.793, 0.500], [0.500, 0.793, 0.000], [0.500, 0.207, 0.500], [0.000, 0.000, 0.000], [0.000, 0.000, 0.500], [0.498, 0.000, 0.250], [0.502, 0.000, 0.750], [0.281, 0.500, 0.750], [0.719, 0.500, 0.250]], "raw_formation_energy_mev_per_atom": -636.9, "magnetic_moment_mub_per_cell": 0.0, "spacegroup": "Pmma"}

---

Entry 2:
{"formula": "Th2Cd2Tc", "functional": "PBE-GGA", "state": "optimized geometry", "cell": [[-3.101, -1.001, 1.155], [0.810, -3.292, -0.677], [5.088, 1.121, 9.460]], "species": ["Tc", "Cd", "Cd", "Th", "Th"], "frac_coords": [[0.000, 0.000, 0.000], [0.205, 0.205, 0.410], [0.795, 0.795, 0.590], [0.586, 0.586, 0.171], [0.414, 0.414, 0.829]], "magnetic_moment_mub_per_cell": 0.0, "ef_ev_per_atom": -0.14, "spacegroup": "I4/mmm", "dos_ef_per_ev_atom": 0.80}

---

Entry 3:
{"formula": "KHg3Pt", "functional": "PBE-GGA", "state": "optimized geometry", "cell": [[7.879, -0.051, 0.009], [-1.835, 7.262, -0.042], [-1.987, -0.491, 5.217]], "species": ["Hg", "Hg", "Hg", "Hg", "Hg", "Hg", "K", "K", "Pt", "Pt"], "frac_coords": [[0.944, 0.101, 0.207], [0.775, 0.705, 0.127], [0.204, 0.546, 0.338], [0.136, 0.281, 0.803], [0.514, 0.261, 0.996], [0.583, 0.524, 0.531], [0.603, 0.999, 0.539], [0.116, 0.807, 0.795], [0.860, 0.404, 0.913], [0.859, 0.402, 0.422]], "magnetic_moment_mub_per_cell": 0.0, "ef_ev_per_atom": -0.16, "spacegroup": "P-1", "dos_ef_per_ev_atom": 0.30}

---

Entry 4:
{"formula": "Tb3Dy8Er3", "functional": "PBE-GGA", "state": "optimized geometry", "cell": [[-3.175, -4.180, -1.866], [-2.395, -5.286, 7.601], [-8.422, 3.791, -2.481]], "species": ["Dy", "Dy", "Dy", "Dy", "Dy", "Dy", "Dy", "Dy", "Er", "Er", "Er", "Tb", "Tb", "Tb"], "frac_coords": [[0.342, 0.436, 0.881], [0.159, 0.237, 0.445], [0.159, 0.445, 0.237], [0.841, 0.555, 0.763], [0.658, 0.564, 0.119], [0.841, 0.763, 0.555], [0.342, 0.881, 0.436], [0.658, 0.119, 0.564], [0.500, 0.000, 0.000], [0.000, 0.818, 0.182], [0.000, 0.182, 0.818], [0.201, 0.799, 0.799], [0.799, 0.201, 0.201], [0.500, 0.500, 0.500]], "magnetic_moment_mub_per_cell": 0.0, "ef_ev_per_atom": 0.12, "spacegroup": "Immm", "dos_ef_per_ev_atom": 1.39}

---

Entry 5:
{"formula": "CeNdO2", "functional": "PBE-GGA", "state": "optimized geometry", "cell": [[-2.784, 1.300, -1.653], [-3.089, 0.124, 1.618], [-0.609, 6.088, 2.133]], "species": ["Nd", "O", "O", "Ce"], "frac_coords": [[0.496, 0.496, 0.513], [0.250, 0.250, 0.249], [0.083, 0.083, 0.751], [0.671, 0.671, 0.986]], "raw_formation_energy_mev_per_atom": -2630.0, "magnetic_moment_mub_per_cell": 1.0, "spacegroup": "R3m", "dos_ef_per_ev_atom": 1.11}

---

Entry 6:
{"formula": "SrNd2Ho", "functional": "PBE-GGA", "state": "optimized geometry", "cell": [[3.729, 0.000, 0.000], [1.865, 3.229, 0.000], [1.865, 1.076, 12.391]], "species": ["Nd", "Nd", "Ho", "Sr"], "frac_coords": [[0.257, 0.257, 0.229], [0.076, 0.076, 0.771], [0.666, 0.666, 0.001], [0.500, 0.500, 0.500]], "magnetic_moment_mub_per_cell": 0.0, "ef_ev_per_atom": 0.10, "spacegroup": "R3m", "dos_ef_per_ev_atom": 1.30}